# 1
Compound: La2TmP2Cl2
Source: the Alexandria database
Functional: GGA-PBE
Structure: relaxed

Geometry as extended XYZ:
```
14
Lattice="5.241 0.000 0.000 0.000 5.241 0.000 0.000 0.000 14.803" Properties=species:S:1:pos:R:3 pbc="T T T"
La 0.000 0.000 1.628
La 0.000 0.000 13.175
La 2.620 2.620 5.773
La 2.620 2.620 9.029
Tm 0.000 0.000 7.401
Tm 2.620 2.620 0.000
P 0.000 2.620 0.000
P 0.000 2.620 7.401
P 2.620 0.000 0.000
P 2.620 0.000 7.401
Cl 0.000 0.000 4.576
Cl 0.000 0.000 10.227
Cl 2.620 2.620 2.826
Cl 2.620 2.620 11.977
```

- space-group type = I4/mmm
- uncorrected energy (eV/atom) = -5.691

=====

# 2
Compound: ScZn11Ag
Source: the Alexandria database
Functional: GGA-PBE
Structure: relaxed

Geometry as extended XYZ:
```
13
Lattice="2.638 -6.230 0.000 2.638 6.230 0.000 -2.607 0.000 6.247" Properties=species:S:1:pos:R:3 pbc="T T T"
Sc 0.000 0.000 0.000
Zn 1.319 3.115 0.000
Zn 0.037 2.209 2.177
Zn 0.065 1.342 4.934
Zn 0.037 -2.209 2.177
Zn 2.605 1.342 1.313
Zn 1.319 -3.115 0.000
Zn 1.335 0.000 3.124
Zn 0.065 -1.342 4.934
Zn 2.633 2.209 4.070
Zn 2.605 -1.342 1.313
Zn 2.633 -2.209 4.070
Ag -1.303 0.000 3.124
```

- space-group type = C2/m
- uncorrected energy (eV/atom) = -1.896

=====

Copy entry 1 word for word.
Compound: La2TmP2Cl2
Source: the Alexandria database
Functional: GGA-PBE
Structure: relaxed

Geometry as extended XYZ:
```
14
Lattice="5.241 0.000 0.000 0.000 5.241 0.000 0.000 0.000 14.803" Properties=species:S:1:pos:R:3 pbc="T T T"
La 0.000 0.000 1.628
La 0.000 0.000 13.175
La 2.620 2.620 5.773
La 2.620 2.620 9.029
Tm 0.000 0.000 7.401
Tm 2.620 2.620 0.000
P 0.000 2.620 0.000
P 0.000 2.620 7.401
P 2.620 0.000 0.000
P 2.620 0.000 7.401
Cl 0.000 0.000 4.576
Cl 0.000 0.000 10.227
Cl 2.620 2.620 2.826
Cl 2.620 2.620 11.977
```

- space-group type = I4/mmm
- uncorrected energy (eV/atom) = -5.691